(1)
Below is a relaxed ThMg2CoSn2 crystal, with properties calculated at the PBE-GGA level.

a = 4.0538 Å, b = 4.0538 Å, c = 9.4443 Å
α = 102.39°, β = 102.39°, γ = 90.00°
Closest atoms and distances in Å follow each position.
Fractional positions:
1 Mg 0.7500 0.2500 0.5000  4 Mg 2.87, 4 Sn 2.90
2 Mg 0.2500 0.7500 0.5000  4 Mg 2.87, 4 Sn 2.90
3 Sn 0.8652 0.8652 0.7304  1 Co 2.43
4 Sn 0.1348 0.1348 0.2696  1 Co 2.43
5 Co 0.0000 0.0000 0.0000  2 Sn 2.43
6 Th 0.5000 0.5000 0.0000  4 Co 2.87

Properties
The calculation puts the total magnetization at 0.000 μB/f.u. The calculation puts the formation energy at -0.083 eV per atom. The calculation puts the density at 6479 kg/m³. The value obtained for the calculated total energy is -0.321 Ry per atom.

---

(2)
Below is a relaxed LiLaMn2 crystal, with properties calculated at the PBE-GGA level.

a = 4.8861 Å, b = 4.8861 Å, c = 3.4563 Å
α = 90.00°, β = 90.00°, γ = 90.00°
Closest atoms and distances in Å follow each position.
Fractional positions:
1 Mn 0.0000 0.0000 0.0000  4 La 2.99, 4 Li 2.99
2 Mn 0.5000 0.5000 0.0000  4 La 2.99, 4 Li 2.99
3 Li 0.0000 0.5000 0.5000  8 Mn 2.99
4 La 0.5000 0.0000 0.5000  8 Mn 2.99

Properties
The calculation puts the total magnetization at 6.670 μB/f.u. The calculation puts the formation energy at 0.493 eV per atom. For the offset from the most stable computed form, the calculation gives 221 meV per atom. The calculation puts the density at 5146 kg/m³. The value obtained for the calculated total energy is -0.426 Ry per atom.

---

(3)
Below is a relaxed Al2TlNiCl8 crystal, with properties calculated at the PBE-GGA level.

a = 6.2832 Å, b = 6.2832 Å, c = 9.9642 Å
α = 71.62°, β = 71.62°, γ = 60.00°
Closest atoms and distances in Å follow each position.
Fractional positions:
1 Cl 0.0434 0.3840 0.8378  1 Al 2.17
2 Cl 0.6160 0.2653 0.1622  1 Al 2.17
3 Cl 0.9566 0.6160 0.1622  1 Al 2.17
4 Cl 0.7347 0.0434 0.8378  1 Al 2.17
5 Cl 0.8212 0.8212 0.5364  1 Al 2.17
6 Cl 0.2653 0.9566 0.1622  1 Al 2.17
7 Cl 0.1788 0.1788 0.4636  1 Al 2.17
8 Cl 0.3840 0.7347 0.8378  1 Al 2.17
9 Tl 0.5000 0.5000 0.5000  12 Cl 3.64-3.81
10 Al 0.7434 0.7434 0.7697  4 Cl 2.17
11 Al 0.2566 0.2566 0.2303  4 Cl 2.17
12 Ni 0.0000 0.0000 0.0000  6 Cl 2.54

Properties
The calculation puts the total magnetization at 1.000 μB/f.u. The uncorrected formation energy comes out at -1.179 eV per atom. The calculation puts the density at 3144 kg/m³. The value obtained for the calculated total energy is -0.273 Ry per atom.

---

(4)
Below is a relaxed KSb2Br crystal, with properties calculated at the PBE-GGA level.

a = 3.8957 Å, b = 3.8951 Å, c = 8.7598 Å
α = 90.00°, β = 90.00°, γ = 90.00°
Closest atoms and distances in Å follow each position.
Fractional positions:
1 Sb 0.0000 0.0000 0.0522  4 Sb 3.10
2 Sb 0.5000 0.5000 0.2150  4 Sb 3.10
3 K 0.5000 0.5000 0.7036  4 Br 3.15
4 Br 0.0000 0.0000 0.5292  4 K 3.15

Properties
The calculation puts the total magnetization at 0.000 μB/f.u. The uncorrected formation energy comes out at -0.547 eV per atom. For the offset from the most stable computed form, the calculation gives 122 meV per atom. The calculation puts the density at 4529 kg/m³. The value obtained for the calculated total energy is -0.243 Ry per atom.

---

(5)
Below is a relaxed NdY2PuO8 crystal, with properties calculated at the PBE-GGA level.

a = 5.1348 Å, b = 5.1379 Å, c = 7.0956 Å
α = 90.00°, β = 90.00°, γ = 90.29°
Closest atoms and distances in Å follow each position.
Fractional positions:
1 O 0.7222 0.7222 0.0000  1 Pu 2.01
2 O 0.1857 0.8146 0.2146  1 Pu 2.04
3 O 0.3149 0.3157 0.5000  2 Y 2.18, 1 Nd 2.28
4 O 0.1857 0.8146 0.7854  1 Pu 2.04
5 O 0.8143 0.1854 0.7854  1 Pu 2.04
6 O 0.2778 0.2778 0.0000  1 Pu 2.01
7 O 0.6851 0.6843 0.5000  2 Y 2.18, 1 Nd 2.28
8 O 0.8143 0.1854 0.2146  1 Pu 2.04
9 Y 0.5000 0.5000 0.7432  6 O 2.18-2.43
10 Y 0.5000 0.5000 0.2568  6 O 2.18-2.43
11 Pu 0.0000 0.0000 0.0000  6 O 2.01-2.04
12 Nd 0.0000 0.0000 0.5000  6 O 2.28-2.43

Properties
The calculation puts the total magnetization at 1.021 μB/f.u. The uncorrected formation energy comes out at -3.035 eV per atom. The calculation puts the density at 6157 kg/m³. The value obtained for the calculated total energy is -0.662 Ry per atom.

---

(6)
Below is a relaxed Mo3IrPb crystal, with properties calculated at the PBE-GGA level.

a = 4.8197 Å, b = 4.8197 Å, c = 4.8197 Å
α = 90.00°, β = 90.00°, γ = 90.00°
Closest atoms and distances in Å follow each position.
Fractional positions:
1 Ir 0.0000 0.0000 0.0000  6 Mo 2.41
2 Mo 0.0000 0.5000 0.0000  2 Ir 2.41
3 Mo 0.5000 0.0000 0.0000  2 Ir 2.41
4 Mo 0.0000 0.0000 0.5000  2 Ir 2.41
5 Pb 0.5000 0.5000 0.5000  12 Mo 3.41

Properties
The calculation puts the total magnetization at 2.388 μB/f.u. The calculation puts the formation energy at 1.414 eV per atom. For the offset from the most stable computed form, the calculation gives 0 meV per atom. The calculation puts the density at 10193 kg/m³. The value obtained for the calculated total energy is -0.558 Ry per atom.

---

(7)
Below is a relaxed InMo2Ru crystal, with properties calculated at the PBE-GGA level.

a = 4.9357 Å, b = 4.9357 Å, c = 4.9357 Å
α = 131.73°, β = 131.73°, γ = 70.66°
Closest atoms and distances in Å follow each position.
Fractional positions:
1 Mo 0.2500 0.7500 0.5000  4 Ru 2.85, 4 Mo 2.85, 4 In 2.85
2 Mo 0.0000 0.0000 0.0000  4 Mo 2.85, 4 In 2.85, 4 Ru 2.85
3 Ru 0.5000 0.5000 0.0000  4 In 2.85, 8 Mo 2.85
4 In 0.7500 0.2500 0.5000  8 Mo 2.85, 4 Ru 2.85

Properties
The calculation puts the total magnetization at 0.000 μB/f.u. The calculation puts the formation energy at 0.297 eV per atom. The calculation puts the density at 10321 kg/m³. The value obtained for the calculated total energy is -0.597 Ry per atom.

---

(8)
Below is a relaxed MoN2Cl6 crystal, with properties calculated at the PBE-GGA level.

a = 7.2275 Å, b = 7.2275 Å, c = 7.2275 Å
α = 60.00°, β = 60.00°, γ = 60.00°
Closest atoms and distances in Å follow each position.
Fractional positions:
1 Cl 0.7738 0.7738 0.2262  1 Mo 2.31
2 Cl 0.2262 0.7738 0.2262  1 Mo 2.31
3 Cl 0.7738 0.2262 0.2262  1 Mo 2.31
4 Cl 0.2262 0.2262 0.7738  1 Mo 2.31
5 Cl 0.2262 0.7738 0.7738  1 Mo 2.31
6 Cl 0.7738 0.2262 0.7738  1 Mo 2.31
7 Mo 0.0000 0.0000 0.0000  6 Cl 2.31
8 N 0.2500 0.2500 0.2500  12 Cl 3.62
9 N 0.7500 0.7500 0.7500  12 Cl 3.62

Properties
The calculation puts the total magnetization at 5.991 μB/f.u. The uncorrected formation energy comes out at 0.580 eV per atom. The calculation puts the density at 2094 kg/m³. The value obtained for the calculated total energy is -0.272 Ry per atom.

---

(9)
Below is a relaxed K2SnH6 crystal, with properties calculated at the PBE-GGA level.

a = 5.7711 Å, b = 5.7711 Å, c = 5.7718 Å
α = 60.01°, β = 60.01°, γ = 60.01°
Closest atoms and distances in Å follow each position.
Fractional positions:
1 H 0.2693 0.2693 0.7301  1 Sn 1.88
2 H 0.7307 0.7307 0.2699  1 Sn 1.88
3 H 0.7309 0.2696 0.2691  1 Sn 1.88
4 H 0.2696 0.7309 0.2691  1 Sn 1.88
5 H 0.2691 0.7304 0.7309  1 Sn 1.88
6 H 0.7304 0.2691 0.7309  1 Sn 1.88
7 K 0.2500 0.2500 0.2499  12 H 2.89
8 K 0.7500 0.7500 0.7501  12 H 2.89
9 Sn 0.5000 0.5000 0.5000  6 H 1.88

Properties
The calculation puts the total magnetization at 0.000 μB/f.u. The calculation puts the density at 2479 kg/m³. The value obtained for the calculated total energy is -0.215 Ry per atom.

---

(10)
Below is a relaxed Ba2Mg3CdSn4 crystal, with properties calculated at the PBE-GGA level.

a = 4.9092 Å, b = 4.9092 Å, c = 12.2795 Å
α = 90.00°, β = 90.00°, γ = 90.00°
Closest atoms and distances in Å follow each position.
Fractional positions:
1 Mg 0.0000 0.0000 0.5000  4 Sn 2.97
2 Mg 0.5000 0.0000 0.8664  5 Sn 2.82-2.95
3 Mg 0.0000 0.5000 0.1336  5 Sn 2.82-2.95
4 Sn 0.0000 0.5000 0.3635  3 Mg 2.82-2.97, 2 Cd 2.97
5 Sn 0.5000 0.5000 0.0000  4 Mg 2.95
6 Sn 0.5000 0.0000 0.6365  3 Mg 2.82-2.97, 2 Cd 2.97
7 Sn 0.0000 0.0000 0.0000  4 Mg 2.95
8 Ba 0.5000 0.0000 0.2508  8 Sn 3.74-3.94, 6 Mg 3.76-3.92, 2 Cd 3.92
9 Ba 0.0000 0.5000 0.7492  8 Sn 3.74-3.94, 6 Mg 3.76-3.92, 2 Cd 3.92
10 Cd 0.5000 0.5000 0.5000  4 Sn 2.97

Properties
The calculation puts the total magnetization at 0.000 μB/f.u. The calculation puts the formation energy at -0.468 eV per atom. The calculation puts the density at 5245 kg/m³. The value obtained for the calculated total energy is -0.222 Ry per atom.

---

What did the second record say?
Below is a relaxed LiLaMn2 crystal, with properties calculated at the PBE-GGA level.

a = 4.8861 Å, b = 4.8861 Å, c = 3.4563 Å
α = 90.00°, β = 90.00°, γ = 90.00°
Closest atoms and distances in Å follow each position.
Fractional positions:
1 Mn 0.0000 0.0000 0.0000  4 La 2.99, 4 Li 2.99
2 Mn 0.5000 0.5000 0.0000  4 La 2.99, 4 Li 2.99
3 Li 0.0000 0.5000 0.5000  8 Mn 2.99
4 La 0.5000 0.0000 0.5000  8 Mn 2.99

Properties
The calculation puts the total magnetization at 6.670 μB/f.u. The calculation puts the formation energy at 0.493 eV per atom. For the offset from the most stable computed form, the calculation gives 221 meV per atom. The calculation puts the density at 5146 kg/m³. The value obtained for the calculated total energy is -0.426 Ry per atom.

---

Q: Which value of density does entry 5 give?
A: 6157 kg/m³

---

What did the third record say?
Below is a relaxed Al2TlNiCl8 crystal, with properties calculated at the PBE-GGA level.

a = 6.2832 Å, b = 6.2832 Å, c = 9.9642 Å
α = 71.62°, β = 71.62°, γ = 60.00°
Closest atoms and distances in Å follow each position.
Fractional positions:
1 Cl 0.0434 0.3840 0.8378  1 Al 2.17
2 Cl 0.6160 0.2653 0.1622  1 Al 2.17
3 Cl 0.9566 0.6160 0.1622  1 Al 2.17
4 Cl 0.7347 0.0434 0.8378  1 Al 2.17
5 Cl 0.8212 0.8212 0.5364  1 Al 2.17
6 Cl 0.2653 0.9566 0.1622  1 Al 2.17
7 Cl 0.1788 0.1788 0.4636  1 Al 2.17
8 Cl 0.3840 0.7347 0.8378  1 Al 2.17
9 Tl 0.5000 0.5000 0.5000  12 Cl 3.64-3.81
10 Al 0.7434 0.7434 0.7697  4 Cl 2.17
11 Al 0.2566 0.2566 0.2303  4 Cl 2.17
12 Ni 0.0000 0.0000 0.0000  6 Cl 2.54

Properties
The calculation puts the total magnetization at 1.000 μB/f.u. The uncorrected formation energy comes out at -1.179 eV per atom. The calculation puts the density at 3144 kg/m³. The value obtained for the calculated total energy is -0.273 Ry per atom.